[1]
VASP calculation (PBE-GGA) on a geometry-optimized AcTlCu structure.

Results
* formation energy: -216 meV per atom
* distance to the lowest polymorph of the same formula: 1 meV per atom

Cell: 4.9591 8.0900 8.0288 Å, 90.00 90.00 90.00°
With the nearest neighbours (Å) after each atom.
Element x y z (fractional)
Ac 0.2500 0.7076 0.9794  4 Cu 3.28-3.45, 6 Tl 3.39-3.59
Cu 0.7500 0.9210 0.8088  4 Tl 2.83-3.06
Ac 0.7500 0.2924 0.0206  4 Cu 3.28-3.45, 6 Tl 3.39-3.59
Ac 0.2500 0.7924 0.4794  4 Cu 3.28-3.45, 6 Tl 3.39-3.59
Tl 0.7500 0.5911 0.6899  4 Cu 2.83-3.06
Cu 0.7500 0.5790 0.3088  4 Tl 2.83-3.06
Tl 0.2500 0.4089 0.3101  4 Cu 2.83-3.06
Ac 0.7500 0.2076 0.5206  4 Cu 3.28-3.45, 6 Tl 3.39-3.59
Cu 0.2500 0.0790 0.1912  4 Tl 2.83-3.06
Cu 0.2500 0.4210 0.6912  4 Tl 2.83-3.06
Tl 0.7500 0.9089 0.1899  4 Cu 2.83-3.06
Tl 0.2500 0.0911 0.8101  4 Cu 2.83-3.06



[2]
VASP calculation (PBE-GGA) on a geometry-optimized Ac12TlCu6 structure.

Results
* formation energy: -98 meV per atom

Cell: 9.4306 9.4306 9.4306 Å, 109.47 109.47 109.47°
With the nearest neighbours (Å) after each atom.
Element x y z (fractional)
Cu 0.5000 0.1167 0.6167  1 Cu 2.54
Tl 0.0000 0.0000 0.0000  12 Ac 3.87
Ac 0.8792 0.1837 0.6955  3 Cu 3.04-3.19
Cu 0.3833 0.5000 0.8833  1 Cu 2.54
Cu 0.8833 0.3833 0.5000  1 Cu 2.54
Ac 0.8163 0.6955 0.5118  3 Cu 3.04-3.19
Ac 0.8163 0.3045 0.1208  3 Cu 3.04-3.19
Ac 0.3045 0.4882 0.1837  3 Cu 3.04-3.19
Cu 0.6167 0.5000 0.1167  1 Cu 2.54
Ac 0.3045 0.1208 0.8163  3 Cu 3.04-3.19
Ac 0.4882 0.1837 0.3045  3 Cu 3.04-3.19
Cu 0.1167 0.6167 0.5000  1 Cu 2.54
Ac 0.1837 0.6955 0.8792  3 Cu 3.04-3.19
Cu 0.5000 0.8833 0.3833  1 Cu 2.54
Ac 0.6955 0.5118 0.8163  3 Cu 3.04-3.19
Ac 0.6955 0.8792 0.1837  3 Cu 3.04-3.19
Ac 0.1837 0.3045 0.4882  3 Cu 3.04-3.19
Ac 0.5118 0.8163 0.6955  3 Cu 3.04-3.19
Ac 0.1208 0.8163 0.3045  3 Cu 3.04-3.19



- Number 1 is which compound?
  AcTlCu